1.
Re4As5 PBE-GGA relaxed; symmetry = I4/mmm; DFT formation energy = 5.4 eV/f.u.
1.0
-5.058 5.058 1.472
5.058 -5.058 1.472
5.058 5.058 -1.472
Re As
4 5
Cartesian
3.525 0.000 0.000
6.592 0.000 0.000
0.000 3.525 0.000
0.000 6.592 0.000
0.000 0.000 0.000
3.375 3.375 0.000
1.684 -1.684 1.472
-1.684 1.684 1.472
1.684 1.684 1.472

***

2.
Re3As4 PBE-GGA relaxed; symmetry = I4/mmm; DFT formation energy = 0.7 eV/f.u.
1.0
-1.488 1.488 14.095
1.488 -1.488 14.095
1.488 1.488 -14.095
Re As
3 4
Cartesian
0.000 0.000 0.000
0.000 0.000 7.911
0.000 0.000 20.279
0.000 0.000 4.523
0.000 0.000 12.519
0.000 0.000 15.671
0.000 0.000 23.666

***

3.
Re3As4 PBE-GGA relaxed; symmetry = P6/mmm; DFT formation energy = 5.5 eV/f.u.
1.0
5.170 0.000 0.000
-2.585 4.478 0.000
0.000 0.000 5.368
Re As
3 4
Cartesian
-1.293 2.239 0.000
2.585 0.000 0.000
1.293 2.239 0.000
0.000 0.000 1.331
0.000 0.000 4.038
0.000 2.985 2.684
2.585 1.493 2.684

***

4.
ReAs2 PBE-GGA relaxed; symmetry = Fd-3m; DFT formation energy = 4.1 eV/f.u.
1.0
0.000 3.714 3.714
3.714 0.000 3.714
3.714 3.714 0.000
Re As
2 4
Cartesian
0.928 0.928 0.928
6.499 6.499 6.499
3.714 1.857 1.857
1.857 3.714 1.857
1.857 1.857 3.714
3.714 3.714 3.714